VASP calculation (GGA-PBE) on an optimized crystal structure of GeWN2.

Cell: 6.0001 6.0001 6.0001 Å, 128.67 128.67 75.54°
Atoms (fractional coordinates):
1 Ge 0.0000 0.0000 0.0000
2 Ge 0.7500 0.2500 0.5000
3 W 0.2500 0.7500 0.5000
4 W 0.5000 0.5000 0.0000
5 N 0.2342 0.6250 0.1092
6 N 0.3750 0.4842 0.6092
7 N 0.5158 0.1250 0.8908
8 N 0.8750 0.7658 0.3908

Results
The formation energy without anion corrections comes out at 7.0 kcal/mol of atoms. Its mass density is 7.375 Mg/m³.